A relaxed structure of LiZr4Cd5. Source: Alexandria, functional GGA-PBE. Values from VASP.

Quantum ESPRESSO input file:
```
&SYSTEM
  ibrav = 0, nat = 10, ntyp = 3
/
ATOMIC_SPECIES
Li 6.94 Li.upf
Zr 91.22 Zr.upf
Cd 112.41 Cd.upf
ATOMIC_POSITIONS angstrom
Li 0.0000 0.0000 0.0000
Zr 0.0000 0.0000 4.0396
Zr 0.0000 0.0000 8.3872
Zr 0.0000 0.0000 12.7336
Zr 0.0000 0.0000 17.0811
Cd 1.5769 1.5769 1.8153
Cd 1.5769 1.5769 6.1980
Cd 1.5769 1.5769 10.5604
Cd 1.5769 1.5769 14.9227
Cd 1.5769 1.5769 19.3055
CELL_PARAMETERS angstrom
3.1538 0.0000 0.0000
0.0000 3.1538 0.0000
0.0000 0.0000 21.1207
```

As for the density of states at the Fermi level: 11.6 states/eV/cell. For the formation energy from the elements, the calculation gives -0.123 eV/atom.

A relaxed structure of LiZrCd3. Source: Alexandria, functional GGA-PBE. Values from VASP.

Quantum ESPRESSO input file:
```
&SYSTEM
  ibrav = 0, nat = 5, ntyp = 3
/
ATOMIC_SPECIES
Li 6.94 Li.upf
Zr 91.22 Zr.upf
Cd 112.41 Cd.upf
ATOMIC_POSITIONS angstrom
Li 0.0000 0.0000 0.0000
Zr 2.8243 2.8243 2.8243
Cd 0.0000 2.8243 2.8243
Cd 2.8243 0.0000 2.8243
Cd 2.8243 2.8243 0.0000
CELL_PARAMETERS angstrom
5.6487 0.0000 0.0000
0.0000 5.6487 0.0000
0.0000 0.0000 5.6487
```

The calculation puts the polymorph energy (0 for the lowest one) at 0.817 eV per atom. As for the density of states at the Fermi level: 6.5 states/eV/cell. For the formation energy from the elements, the calculation gives 0.690 eV/atom.

A relaxed structure of LiZr2Cd. Source: Alexandria, functional GGA-PBE. Values from VASP.

Quantum ESPRESSO input file:
```
&SYSTEM
  ibrav = 0, nat = 4, ntyp = 3
/
ATOMIC_SPECIES
Li 6.94 Li.upf
Zr 91.22 Zr.upf
Cd 112.41 Cd.upf
ATOMIC_POSITIONS angstrom
Li 0.0000 0.0000 0.0000
Zr 0.0000 0.0000 8.2213
Zr 0.0000 0.0000 24.9000
Cd 0.0000 0.0000 16.5607
CELL_PARAMETERS angstrom
1.5042 0.8685 11.0404
-1.5042 0.8685 11.0404
0.0000 -1.7369 11.0404
```

As for the density of states at the Fermi level: 3.6 states/eV/cell. For the formation energy from the elements, the calculation gives 0.113 eV/atom.

A relaxed structure of LiZr2Cd. Source: Alexandria, functional GGA-PBE. Values from VASP.

Quantum ESPRESSO input file:
```
&SYSTEM
  ibrav = 0, nat = 8, ntyp = 3
/
ATOMIC_SPECIES
Li 6.94 Li.upf
Zr 91.22 Zr.upf
Cd 112.41 Cd.upf
ATOMIC_POSITIONS angstrom
Li 0.0000 0.0000 0.0000
Li 0.0000 3.9474 1.3587
Zr 1.9737 1.8539 -0.6793
Zr 2.0935 -1.9737 3.3967
Zr 1.9737 2.0935 2.0380
Zr 1.8539 5.9210 0.6793
Cd 3.9474 0.0000 1.3587
Cd 0.0000 0.0000 2.7174
CELL_PARAMETERS angstrom
-3.9474 3.9474 2.7174
3.9474 -3.9474 2.7174
3.9474 3.9474 -2.7174
```

As for the density of states at the Fermi level: 5.8 states/eV/cell. For the formation energy from the elements, the calculation gives 0.318 eV/atom.

A relaxed structure of LiZr2Cd. Source: Alexandria, functional GGA-PBE. Values from VASP.

Quantum ESPRESSO input file:
```
&SYSTEM
  ibrav = 0, nat = 4, ntyp = 3
/
ATOMIC_SPECIES
Li 6.94 Li.upf
Zr 91.22 Zr.upf
Cd 112.41 Cd.upf
ATOMIC_POSITIONS angstrom
Li 0.0000 0.0000 0.0000
Zr 0.0000 0.0000 4.4340
Zr 2.2360 0.0000 2.2649
Cd 2.2360 0.0000 6.7552
CELL_PARAMETERS angstrom
2.2360 -2.2397 0.0000
2.2360 2.2397 0.0000
0.0000 0.0000 8.4252
```

As for the density of states at the Fermi level: 2.9 states/eV/cell. For the formation energy from the elements, the calculation gives -0.059 eV/atom.

A relaxed structure of LiZrCd3. Source: Alexandria, functional GGA-PBE. Values from VASP.

Quantum ESPRESSO input file:
```
&SYSTEM
  ibrav = 0, nat = 10, ntyp = 3
/
ATOMIC_SPECIES
Li 6.94 Li.upf
Zr 91.22 Zr.upf
Cd 112.41 Cd.upf
ATOMIC_POSITIONS angstrom
Li 1.4097 0.0000 0.4419
Li 7.0988 0.0000 8.0196
Zr 2.7484 0.0000 3.8510
Zr 5.7601 0.0000 4.6105
Cd -0.2603 0.0000 2.8700
Cd 1.2688 0.0000 6.5595
Cd 4.2494 0.0000 1.1571
Cd 4.2591 0.0000 7.3044
Cd 7.2397 0.0000 1.9020
Cd 8.7689 0.0000 5.5915
CELL_PARAMETERS angstrom
5.1979 -2.3291 0.0000
5.1979 2.3291 0.0000
-1.8873 0.0000 8.4615
```

The calculation puts the polymorph energy (0 for the lowest one) at 0.000 eV per atom. As for the density of states at the Fermi level: 6.5 states/eV/cell. For the formation energy from the elements, the calculation gives -0.127 eV/atom.

A relaxed structure of Li2ZrCd. Source: Alexandria, functional GGA-PBE. Values from VASP.

Quantum ESPRESSO input file:
```
&SYSTEM
  ibrav = 0, nat = 4, ntyp = 3
/
ATOMIC_SPECIES
Li 6.94 Li.upf
Zr 91.22 Zr.upf
Cd 112.41 Cd.upf
ATOMIC_POSITIONS angstrom
Li 2.3014 0.0000 1.3176
Li 7.0830 0.0000 4.3235
Zr -0.2630 0.0000 2.8206
Cd 4.9552 0.0000 0.0000
CELL_PARAMETERS angstrom
4.9552 -1.4114 0.0000
4.9552 1.4114 0.0000
-0.5259 0.0000 5.6411
```

As for the density of states at the Fermi level: 2.5 states/eV/cell. For the formation energy from the elements, the calculation gives 0.036 eV/atom.

A relaxed structure of LiZr2Cd3. Source: Alexandria, functional GGA-PBE. Values from VASP.

Quantum ESPRESSO input file:
```
&SYSTEM
  ibrav = 0, nat = 6, ntyp = 3
/
ATOMIC_SPECIES
Li 6.94 Li.upf
Zr 91.22 Zr.upf
Cd 112.41 Cd.upf
ATOMIC_POSITIONS angstrom
Li 0.0000 0.0000 0.0000
Zr 0.0000 0.0000 4.0242
Zr 0.0000 0.0000 8.3898
Cd 1.5736 1.5736 1.8082
Cd 1.5736 1.5736 6.2070
Cd 1.5736 1.5736 10.6058
CELL_PARAMETERS angstrom
3.1472 0.0000 0.0000
0.0000 3.1472 0.0000
0.0000 0.0000 12.4140
```

As for the density of states at the Fermi level: 5.1 states/eV/cell. For the formation energy from the elements, the calculation gives -0.145 eV/atom.

> Among the records above, which one has the highest formation energy from the elements?

number 2

Copy entry 8 word for word.
A relaxed structure of LiZr2Cd3. Source: Alexandria, functional GGA-PBE. Values from VASP.

Quantum ESPRESSO input file:
```
&SYSTEM
  ibrav = 0, nat = 6, ntyp = 3
/
ATOMIC_SPECIES
Li 6.94 Li.upf
Zr 91.22 Zr.upf
Cd 112.41 Cd.upf
ATOMIC_POSITIONS angstrom
Li 0.0000 0.0000 0.0000
Zr 0.0000 0.0000 4.0242
Zr 0.0000 0.0000 8.3898
Cd 1.5736 1.5736 1.8082
Cd 1.5736 1.5736 6.2070
Cd 1.5736 1.5736 10.6058
CELL_PARAMETERS angstrom
3.1472 0.0000 0.0000
0.0000 3.1472 0.0000
0.0000 0.0000 12.4140
```

As for the density of states at the Fermi level: 5.1 states/eV/cell. For the formation energy from the elements, the calculation gives -0.145 eV/atom.

> Among the records above, which one has the highest formation energy from the elements?

number 2

> formation energy from the elements of number 1 (LiZr4Cd5)?

-0.123 eV/atom